First-principles (PBE-GGA) data for InReTe2 after structural relaxation, as listed in the Alexandria database.

## Properties
Formation energy (no corrections) in eV per formula unit: 1.0
Fermi-level density of states in states/eV/cell: 5.258
Crystal system: orthorhombic
Total energy in eV per atom: -5.12

Cell lengths 3.274, 4.389, 15.419 Å; angles 90.00, 90.00, 90.00 degrees
Space group Amm2 (No. 38)
Inequivalent atoms, fractional coordinates:
In1 0.000 0.000 0.000 x2
Re1 0.500 0.000 0.466 x2
Te1 0.000 0.000 0.332 x2
Te2 0.500 0.000 0.645 x2